# SrH2N, optimized geometry, DFT PBE-GGA
# Relative energy among the computed polymorphs, meV/atom: 849
data_SrH2N
_cell_length_a 3.758
_cell_length_b 3.758
_cell_length_c 12.232
_cell_angle_alpha 90.00
_cell_angle_beta 90.00
_cell_angle_gamma 90.00
_symmetry_space_group_name_H-M 'I 41/a m d'
_symmetry_Int_Tables_number 141
loop_
_symmetry_equiv_pos_as_xyz
'x,y,z'
'-x,-y,-z'
'-y+1/4,x+3/4,z+1/4'
'y+1/4,-x+3/4,-z+1/4'
'-x+1/2,-y,z+1/2'
'x+1/2,y,-z+1/2'
'y+1/4,-x+1/4,z+3/4'
'-y+1/4,x+1/4,-z+3/4'
'x,-y,-z'
'-x,y,z'
'-y+1/4,-x+1/4,-z+3/4'
'y+1/4,x+1/4,z+3/4'
'-x+1/2,y,-z+1/2'
'x+1/2,-y,z+1/2'
'y+1/4,x+3/4,-z+1/4'
'-y+1/4,-x+3/4,z+1/4'
'x+1/2,y+1/2,z+1/2'
'-x+1/2,-y+1/2,-z+1/2'
'-y+3/4,x+1/4,z+3/4'
'y+3/4,-x+1/4,-z+3/4'
'-x,-y+1/2,z'
'x,y+1/2,-z'
'y+3/4,-x+3/4,z+1/4'
'-y+3/4,x+3/4,-z+1/4'
'x+1/2,-y+1/2,-z+1/2'
'-x+1/2,y+1/2,z+1/2'
'-y+3/4,-x+3/4,-z+1/4'
'y+3/4,x+3/4,z+1/4'
'-x,y+1/2,-z'
'x,-y+1/2,z'
'y+3/4,x+1/4,-z+3/4'
'-y+3/4,-x+1/4,z+3/4'
loop_
_atom_site_label
_atom_site_type_symbol
_atom_site_fract_x
_atom_site_fract_y
_atom_site_fract_z
Sr1 Sr 0.000 0.250 0.375
H1 H 0.000 0.000 0.000
N1 N 0.000 0.250 0.875

# ThCd4Pt2, optimized geometry, DFT PBE-GGA
# ΔE_f, eV/atom: -0.484
data_ThCd4Pt2
_cell_length_a 4.292
_cell_length_b 18.469
_cell_length_c 3.862
_cell_angle_alpha 90.00
_cell_angle_beta 90.00
_cell_angle_gamma 90.00
_symmetry_space_group_name_H-M 'C m m m'
_symmetry_Int_Tables_number 65
_symmetry_space_group_name_Hall '-C 2 2'
loop_
_atom_site_label
_atom_site_type_symbol
_atom_site_fract_x
_atom_site_fract_y
_atom_site_fract_z
Th1 Th 0.000 0.000 0.000
Cd1 Cd 0.000 0.171 0.500
Cd2 Cd 0.000 0.312 0.000
Pt1 Pt 0.000 0.429 0.500

# TlTe2Os, optimized geometry, DFT PBE-GGA
# Relative energy among the computed polymorphs, meV/atom: 142
data_TlTe2Os
_cell_length_a 4.070
_cell_length_b 4.827
_cell_length_c 12.152
_cell_angle_alpha 90.00
_cell_angle_beta 90.00
_cell_angle_gamma 90.00
_symmetry_space_group_name_H-M 'A m m 2'
_symmetry_Int_Tables_number 38
loop_
_symmetry_equiv_pos_as_xyz
'x,y,z'
'-x,-y,z'
'-x,y,z'
'x,-y,z'
'x,y+1/2,z+1/2'
'-x,-y+1/2,z+1/2'
'-x,y+1/2,z+1/2'
'x,-y+1/2,z+1/2'
loop_
_atom_site_label
_atom_site_type_symbol
_atom_site_fract_x
_atom_site_fract_y
_atom_site_fract_z
Tl1 Tl 0.000 0.000 0.000
Te1 Te 0.000 0.000 0.319
Te2 Te 0.500 0.000 0.611
Os1 Os 0.500 0.000 0.192

TiInS2F | PBE-GGA | optimized geometry

```
data_TiInS2F
_cell_length_a 4.856
_cell_length_b 4.856
_cell_length_c 3.974
_cell_angle_alpha 90.00
_cell_angle_beta 90.00
_cell_angle_gamma 90.00
_symmetry_space_group_name_H-M 'P 4/m m m'
_symmetry_Int_Tables_number 123
_symmetry_space_group_name_Hall '-P 4 2'
loop_
_atom_site_label
_atom_site_type_symbol
_atom_site_fract_x
_atom_site_fract_y
_atom_site_fract_z
Ti1 Ti 0.000 0.000 0.000
In1 In 0.500 0.500 0.500
S1 S 0.000 0.500 0.000
F1 F 0.000 0.000 0.500
```

# Y3TaB, optimized geometry, DFT PBE-GGA
# ΔE_f, eV/atom: 1.507
# Relative energy among the computed polymorphs, meV/atom: 1012
data_Y3TaB
_cell_length_a 5.402
_cell_length_b 5.402
_cell_length_c 5.402
_cell_angle_alpha 90.00
_cell_angle_beta 90.00
_cell_angle_gamma 90.00
_symmetry_space_group_name_H-M 'P m -3 m'
_symmetry_Int_Tables_number 221
_symmetry_space_group_name_Hall '-P 4 2 3'
loop_
_atom_site_label
_atom_site_type_symbol
_atom_site_fract_x
_atom_site_fract_y
_atom_site_fract_z
Y1 Y 0.000 0.000 0.500
Ta1 Ta 0.000 0.000 0.000
B1 B 0.500 0.500 0.500

ErTm4N5 | PBE-GGA | optimized geometry

```
data_ErTm4N5
_cell_length_a 3.408
_cell_length_b 3.408
_cell_length_c 24.092
_cell_angle_alpha 90.00
_cell_angle_beta 90.00
_cell_angle_gamma 90.00
_symmetry_space_group_name_H-M 'I 4/m m m'
_symmetry_Int_Tables_number 139
_symmetry_space_group_name_Hall '-I 4 2'
loop_
_atom_site_label
_atom_site_type_symbol
_atom_site_fract_x
_atom_site_fract_y
_atom_site_fract_z
Er1 Er 0.000 0.000 0.000
Tm1 Tm 0.000 0.000 0.200
Tm2 Tm 0.000 0.000 0.400
N1 N 0.000 0.000 0.100
N2 N 0.000 0.000 0.300
N3 N 0.000 0.000 0.500
```

Rb2PPbBr6 | PBE-GGA | optimized geometry

```
data_Rb2PPbBr6
_cell_length_a 7.972
_cell_length_b 7.972
_cell_length_c 11.335
_cell_angle_alpha 90.00
_cell_angle_beta 90.00
_cell_angle_gamma 90.00
_symmetry_space_group_name_H-M 'I 4/m m m'
_symmetry_Int_Tables_number 139
_symmetry_space_group_name_Hall '-I 4 2'
loop_
_atom_site_label
_atom_site_type_symbol
_atom_site_fract_x
_atom_site_fract_y
_atom_site_fract_z
Rb1 Rb 0.000 0.500 0.250
P1 P 0.000 0.000 0.000
Pb1 Pb 0.000 0.000 0.500
Br1 Br 0.000 0.000 0.236
Br2 Br 0.235 0.235 0.000
```

# Hf2MgCl, optimized geometry, DFT PBE-GGA
# Relative energy among the computed polymorphs, meV/atom: 0
data_Hf2MgCl
_cell_length_a 4.067
_cell_length_b 4.067
_cell_length_c 22.106
_cell_angle_alpha 90.00
_cell_angle_beta 90.00
_cell_angle_gamma 90.00
_symmetry_space_group_name_H-M 'I -4 2 d'
_symmetry_Int_Tables_number 122
_symmetry_space_group_name_Hall 'I -4 2bw'
loop_
_atom_site_label
_atom_site_type_symbol
_atom_site_fract_x
_atom_site_fract_y
_atom_site_fract_z
Hf1 Hf 0.247 0.250 0.125
Mg1 Mg 0.000 0.000 0.000
Cl1 Cl 0.000 0.000 0.500

# La2CdHg, optimized geometry, DFT PBE-GGA
# ΔE_f, eV/atom: -0.352
# Relative energy among the computed polymorphs, meV/atom: 62
data_La2CdHg
_cell_length_a 12.446
_cell_length_b 3.899
_cell_length_c 5.392
_cell_angle_alpha 90.00
_cell_angle_beta 115.53
_cell_angle_gamma 90.00
_symmetry_space_group_name_H-M 'C 1 m 1'
_symmetry_Int_Tables_number 8
loop_
_symmetry_equiv_pos_as_xyz
'x,y,z'
'x,-y,z'
'x+1/2,y+1/2,z'
'x+1/2,-y+1/2,z'
loop_
_atom_site_label
_atom_site_type_symbol
_atom_site_fract_x
_atom_site_fract_y
_atom_site_fract_z
La1 La 0.000 0.000 0.000
La2 La 0.227 0.000 0.728
Cd1 Cd 0.459 0.000 0.459
Hg1 Hg 0.254 0.500 0.254

# TlGaS2Cl, optimized geometry, DFT PBE-GGA
# Relative energy among the computed polymorphs, meV/atom: 0
data_TlGaS2Cl
_cell_length_a 4.754
_cell_length_b 4.754
_cell_length_c 5.206
_cell_angle_alpha 90.00
_cell_angle_beta 90.00
_cell_angle_gamma 90.00
_symmetry_space_group_name_H-M 'P 4/m m m'
_symmetry_Int_Tables_number 123
_symmetry_space_group_name_Hall '-P 4 2'
loop_
_atom_site_label
_atom_site_type_symbol
_atom_site_fract_x
_atom_site_fract_y
_atom_site_fract_z
Tl1 Tl 0.000 0.000 0.000
Ga1 Ga 0.500 0.500 0.500
S1 S 0.000 0.500 0.500
Cl1 Cl 0.500 0.500 0.000

# Y2CrCu, optimized geometry, DFT PBE-GGA
# ΔE_f, eV/atom: 0.394
data_Y2CrCu
_cell_length_a 4.915
_cell_length_b 3.392
_cell_length_c 5.904
_cell_angle_alpha 90.00
_cell_angle_beta 108.47
_cell_angle_gamma 90.00
_symmetry_space_group_name_H-M 'P 1 2/m 1'
_symmetry_Int_Tables_number 10
loop_
_symmetry_equiv_pos_as_xyz
'x,y,z'
'-x,-y,-z'
'-x,y,-z'
'x,-y,z'
loop_
_atom_site_label
_atom_site_type_symbol
_atom_site_fract_x
_atom_site_fract_y
_atom_site_fract_z
Y1 Y 0.000 0.000 0.000
Y2 Y 0.500 0.500 0.500
Cr1 Cr 0.000 0.000 0.500
Cu1 Cu 0.500 0.500 0.000

# PuPaTcSn, optimized geometry, DFT PBE-GGA
# ΔE_f, eV/atom: -0.150
# Relative energy among the computed polymorphs, meV/atom: 0
data_PuPaTcSn
_cell_length_a 6.955
_cell_length_b 6.955
_cell_length_c 6.955
_cell_angle_alpha 90.00
_cell_angle_beta 90.00
_cell_angle_gamma 90.00
_symmetry_space_group_name_H-M 'F -4 3 m'
_symmetry_Int_Tables_number 216
_symmetry_space_group_name_Hall 'F -4 2 3'
loop_
_atom_site_label
_atom_site_type_symbol
_atom_site_fract_x
_atom_site_fract_y
_atom_site_fract_z
Pu1 Pu 0.000 0.000 0.000
Pa1 Pa 0.250 0.250 0.750
Tc1 Tc 0.000 0.000 0.500
Sn1 Sn 0.250 0.250 0.250

In order of appearance, M_tot = 0.0, 0.0, 0.0, 0.0, 0.0, 0.0, 0.0, 0.0, 0.0, 0.5, 3.2, 6.0 μB per formula unit.
In order of appearance, DFT total energy = -60.8, -53.1, -37.7, -27.7, -30.4, -164.5, -60.3, -89.1, -25.0, -17.0, -25.1, -155.2 eV per cell.